[1]
NaCeInF6 | GGA-PBE | optimized geometry

Cell lengths 5.556, 5.556, 11.408 Å; angles 90.00, 90.00, 90.00 degrees
Space group P4_2nm (No. 102)
Inequivalent atoms, fractional coordinates:
Na 0.000 0.000 0.000
Ce 0.000 0.000 0.664
In 0.000 0.000 0.324
F 0.172 0.172 0.816
F 0.205 0.205 0.536
F 0.220 0.220 0.155

Output
The value obtained for the uncorrected formation energy is -3.08 eV/atom. Its raw total energy is -5.44 eV per atom.

[2]
MgFeSe2 | GGA-PBE | optimized geometry

Cell lengths 7.266, 7.124, 4.200 Å; angles 90.00, 117.06, 90.00 degrees
Space group C2/m (No. 12)
Inequivalent atoms, fractional coordinates:
Mg 0.000 0.000 0.000
Fe 0.000 0.500 0.000
Se 0.250 0.250 0.000

Output
The value obtained for the uncorrected formation energy is -0.23 eV/atom. Its raw total energy is -4.48 eV per atom.